1.
Compound: ZnCdRu2
Source: Alexandria
Functional: PBE
Structure: relaxed

Cell and atoms, written as CIF:
```
data_ZnCdRu2
_chemical_formula_sum 'Zn1 Cd1 Ru2'
_cell_length_a 2.932
_cell_length_b 4.595
_cell_length_c 4.635
_cell_angle_alpha 90.00
_cell_angle_beta 90.00
_cell_angle_gamma 90.00
_space_group_name_H-M_alt 'P m m m'
_space_group_IT_number 47
loop_
_space_group_symop_operation_xyz
'x,y,z'
'-x,-y,-z'
'-x,-y,z'
'x,y,-z'
'x,-y,-z'
'-x,y,z'
'-x,y,-z'
'x,-y,z'
loop_
_atom_site_label
_atom_site_type_symbol
_atom_site_fract_x
_atom_site_fract_y
_atom_site_fract_z
_atom_site_occupancy
Zn1 Zn 0.000 0.000 0.000 1
Cd1 Cd 0.500 0.000 0.500 1
Ru1 Ru 0.000 0.500 0.500 1
Ru2 Ru 0.500 0.500 0.000 1
```

Output
Energy of formation (kJ/mol of atoms): 34


2.
Compound: LiCeNdSn
Source: Alexandria
Functional: PBE
Structure: relaxed

Cell and atoms, written as CIF:
```
data_LiCeNdSn
_chemical_formula_sum 'Li4 Ce4 Nd4 Sn4'
_cell_length_a 7.628
_cell_length_b 7.628
_cell_length_c 7.628
_cell_angle_alpha 90.00
_cell_angle_beta 90.00
_cell_angle_gamma 90.00
_space_group_name_H-M_alt 'F -4 3 m'
_space_group_IT_number 216
_space_group_name_Hall 'F -4 2 3'
loop_
_atom_site_label
_atom_site_type_symbol
_atom_site_fract_x
_atom_site_fract_y
_atom_site_fract_z
_atom_site_occupancy
Li1 Li 0.000 0.000 0.000 1
Ce1 Ce 0.250 0.250 0.750 1
Nd1 Nd 0.250 0.250 0.250 1
Sn1 Sn 0.000 0.000 0.500 1
```

Output
Energy of formation (kJ/mol of atoms): -31


3.
Compound: Pr4Nd2YEr2
Source: Alexandria
Functional: PBE
Structure: relaxed

Cell and atoms, written as CIF:
```
data_Pr4Nd2YEr2
_chemical_formula_sum 'Pr8 Nd4 Y2 Er4'
_cell_length_a 15.527
_cell_length_b 5.174
_cell_length_c 8.123
_cell_angle_alpha 90.00
_cell_angle_beta 108.63
_cell_angle_gamma 90.00
_space_group_name_H-M_alt 'C 1 2/m 1'
_space_group_IT_number 12
loop_
_space_group_symop_operation_xyz
'x,y,z'
'-x,-y,-z'
'-x,y,-z'
'x,-y,z'
'x+1/2,y+1/2,z'
'-x+1/2,-y+1/2,-z'
'-x+1/2,y+1/2,-z'
'x+1/2,-y+1/2,z'
loop_
_atom_site_label
_atom_site_type_symbol
_atom_site_fract_x
_atom_site_fract_y
_atom_site_fract_z
_atom_site_occupancy
Pr1 Pr 0.055 0.000 0.331 1
Pr2 Pr 0.222 0.500 0.330 1
Nd1 Nd 0.112 0.500 0.670 1
Y1 Y 0.000 0.500 0.000 1
Er1 Er 0.167 0.000 0.000 1
```

Output
Energy of formation (kJ/mol of atoms): 2